A relaxed structure of KGeCl, computed with PBE.

Lattice parameters (Å, degrees): 4.1945 4.1945 11.8839 90.00 90.00 120.00
Last column: nearest neighbours and their distance in Å.
Space group P3m1 (No. 156)
Asymmetric unit:
K: 0.0000 0.0000 0.0000 x1  6 Cl 3.03-3.17
K: 0.3333 0.6667 0.6677 x1  3 Cl 3.08
Ge: 0.3333 0.6667 0.3632 x1  1 Cl 2.50, 3 Ge 2.56
Ge: 0.6667 0.3333 0.4336 x1  3 Ge 2.56
Cl: 0.3333 0.6667 0.1526 x1  1 Ge 2.50
Cl: 0.6667 0.3333 0.8281 x1  6 K 3.08-3.17

Values from the calculation:
Crystal system: trigonal
Energy above the lowest structure with this stoichiometry: 1.3 kJ per mole of atoms
Uncorrected formation energy: -1.0395 eV per atom
M_tot: 0.0 μB/f.u.
N(E_F): 0.04 states/eV/cell
Final energy: -3.560 eV/atom
V: 181.1 Å³/cell

***

A relaxed structure of KGeCl, computed with PBE.

Lattice parameters (Å, degrees): 4.1902 4.1902 35.6775 90.00 90.00 120.00
Last column: nearest neighbours and their distance in Å.
Space group R3m (No. 160, hexagonal axes)
Asymmetric unit:
K: 0.0000 0.0000 0.0000 x3  6 Cl 3.03-3.18
K: 0.0000 0.0000 0.1117 x3  3 Cl 3.09
Ge: 0.0000 0.0000 0.2123 x3  1 Cl 2.50, 3 Ge 2.56
Ge: 0.0000 0.0000 0.5221 x3  3 Ge 2.56
Cl: 0.0000 0.0000 0.2823 x3  1 Ge 2.50
Cl: 0.0000 0.0000 0.7246 x3  6 K 3.09-3.18

Values from the calculation:
Crystal system: trigonal
Energy above the lowest structure with this stoichiometry: 1.4 kJ per mole of atoms
Uncorrected formation energy: -1.0386 eV per atom
M_tot: 0.0 μB/f.u.
N(E_F): 0.03 states/eV/cell
Final energy: -3.559 eV/atom
V: 542.5 Å³/cell

***

A relaxed structure of KGeCl3, computed with PBE.

Lattice parameters (Å, degrees): 6.0939 6.1075 9.7839 82.40 82.24 83.43
Last column: nearest neighbours and their distance in Å.
Space group P1 (No. 1)
Asymmetric unit:
K: 0.0000 0.0000 0.0000 x1  6 Cl 3.09-3.45
K: 0.4302 0.1847 0.4029 x1  7 Cl 3.21-3.33
Ge: 0.4291 0.4107 0.8344 x1  3 Cl 2.34-2.41
Ge: 0.9030 0.6723 0.5326 x1  3 Cl 2.35-2.37
Cl: 0.0448 0.5158 0.8965 x1  1 Ge 2.37
Cl: 0.2944 0.6727 0.4928 x1  1 Ge 2.36
Cl: 0.3771 0.0864 0.7449 x1  1 Ge 2.34
Cl: 0.4773 0.2083 0.0584 x1  1 Ge 2.41
Cl: 0.8389 0.8231 0.3035 x1  1 Ge 2.37
Cl: 0.9030 0.3003 0.4938 x1  1 Ge 2.35

Values from the calculation:
Crystal system: triclinic
Uncorrected formation energy: -1.2730 eV per atom
M_tot: 0.0 μB/f.u.
N(E_F): 0.00 states/eV/cell
Final energy: -3.524 eV/atom
V: 355.9 Å³/cell

***

A relaxed structure of K3GeCl, computed with PBE.

Lattice parameters (Å, degrees): 5.9565 5.9565 5.9565 90.00 90.00 90.00
Last column: nearest neighbours and their distance in Å.
Space group Pm-3m (No. 221)
Asymmetric unit:
K: 0.0000 0.0000 0.5000 x3  2 Cl 2.98
Ge: 0.5000 0.5000 0.5000 x1  12 K 4.21
Cl: 0.0000 0.0000 0.0000 x1  6 K 2.98

Values from the calculation:
Crystal system: cubic
Energy above the lowest structure with this stoichiometry: 0.0 kJ per mole of atoms
Uncorrected formation energy: -0.5197 eV per atom
M_tot: 2.0 μB/f.u.
N(E_F): 1.97 states/eV/cell
Final energy: -2.471 eV/atom
V: 211.3 Å³/cell

***

A relaxed structure of K2GeCl, computed with PBE.

Lattice parameters (Å, degrees): 8.5614 8.5614 8.7555 90.00 90.00 90.00
Last column: nearest neighbours and their distance in Å.
Space group I-42d (No. 122)
Asymmetric unit:
K: 0.2045 0.2500 0.1250 x8  2 Cl 2.97
Ge: 0.0000 0.0000 0.5000 x4  4 K 3.49
Cl: 0.0000 0.0000 0.0000 x4  4 K 2.97

Values from the calculation:
Crystal system: tetragonal
Energy above the lowest structure with this stoichiometry: 2.1 kJ per mole of atoms
Uncorrected formation energy: -0.4562 eV per atom
M_tot: 1.0 μB/f.u.
N(E_F): 0.97 states/eV/cell
Final energy: -2.621 eV/atom
V: 641.8 Å³/cell

***

A relaxed structure of KGeCl, computed with PBE.

Lattice parameters (Å, degrees): 4.2071 4.2071 35.0655 90.00 90.00 120.00
Last column: nearest neighbours and their distance in Å.
Space group R3m (No. 160, hexagonal axes)
Asymmetric unit:
K: 0.0000 0.0000 0.0000 x3  3 Cl 3.08
K: 0.0000 0.0000 0.2216 x3  6 Cl 3.03-3.16
Ge: 0.0000 0.0000 0.4085 x3  3 Ge 2.56
Ge: 0.0000 0.0000 0.7650 x3  1 Cl 2.50, 3 Ge 2.56
Cl: 0.0000 0.0000 0.6126 x3  6 K 3.08-3.16
Cl: 0.0000 0.0000 0.8364 x3  1 Ge 2.50

Values from the calculation:
Crystal system: trigonal
Energy above the lowest structure with this stoichiometry: 0.0 kJ per mole of atoms
Uncorrected formation energy: -1.0534 eV per atom
M_tot: 0.0 μB/f.u.
N(E_F): 0.24 states/eV/cell
Final energy: -3.574 eV/atom
V: 537.5 Å³/cell

***

A relaxed structure of KGeCl, computed with PBE.

Lattice parameters (Å, degrees): 4.1819 4.1819 12.1820 80.20 80.15 60.00
Last column: nearest neighbours and their distance in Å.
Space group P1 (No. 1)
Asymmetric unit:
K: 0.0000 0.0000 0.0000 x1  6 Cl 3.03-3.18
K: 0.1125 0.1099 0.6647 x1  3 Cl 3.09
Ge: 0.2136 0.2146 0.3622 x1  1 Cl 2.50, 3 Ge 2.56
Ge: 0.8568 0.8580 0.4326 x1  3 Ge 2.56
Cl: 0.2824 0.2832 0.1529 x1  1 Ge 2.50
Cl: 0.7248 0.7233 0.8265 x1  6 K 3.09-3.18

Values from the calculation:
Crystal system: triclinic
Energy above the lowest structure with this stoichiometry: 1.8 kJ per mole of atoms
Uncorrected formation energy: -1.0344 eV per atom
M_tot: 0.0 μB/f.u.
N(E_F): 0.02 states/eV/cell
Final energy: -3.555 eV/atom
V: 180.9 Å³/cell

***

A relaxed structure of KGeCl3, computed with PBE.

Lattice parameters (Å, degrees): 4.7346 4.7346 16.6184 90.00 90.00 120.00
Last column: nearest neighbours and their distance in Å.
Space group P6_3/mmc (No. 194)
Asymmetric unit:
K: 0.0000 0.0000 0.0000 x2  6 Cl 3.17
Ge: 0.3333 0.6667 0.2500 x2  5 Cl 2.56-2.73
Cl: 0.0000 0.0000 0.2500 x2  3 Ge 2.73
Cl: 0.3333 0.6667 0.0963 x4  1 Ge 2.56

Values from the calculation:
Crystal system: hexagonal
Uncorrected formation energy: -1.1861 eV per atom
M_tot: 0.0 μB/f.u.
N(E_F): 0.00 states/eV/cell
Final energy: -3.437 eV/atom
V: 322.6 Å³/cell

***

A relaxed structure of K3Ge5Cl12, computed with PBE.

Lattice parameters (Å, degrees): 17.2204 17.2204 17.2204 90.00 90.00 90.00
Last column: nearest neighbours and their distance in Å.
Space group Ia-3d (No. 230)
Asymmetric unit:
K: 0.0000 0.2500 0.1250 x24  8 Cl 3.32-3.47
Ge: 0.0000 0.0000 0.0000 x16  6 Cl 2.72
Ge: 0.0000 0.2500 0.3750 x24  4 Cl 2.59
Cl: 0.0292 0.0519 0.6463 x96  2 Ge 2.59-2.72

Values from the calculation:
Crystal system: cubic
Uncorrected formation energy: -1.0033 eV per atom
M_tot: 0.0 μB/f.u.
N(E_F): 60.19 states/eV/cell
Final energy: -3.430 eV/atom
V: 5106.6 Å³/cell

***

A relaxed structure of KGe3Cl, computed with PBE.

Lattice parameters (Å, degrees): 5.2057 5.2057 5.2057 90.00 90.00 90.00
Last column: nearest neighbours and their distance in Å.
Space group Pm-3m (No. 221)
Asymmetric unit:
K: 0.0000 0.0000 0.0000 x1  12 Ge 3.68
Ge: 0.0000 0.5000 0.5000 x3  2 Cl 2.60
Cl: 0.5000 0.5000 0.5000 x1  6 Ge 2.60

Values from the calculation:
Crystal system: cubic
Energy above the lowest structure with this stoichiometry: 0.0 kJ per mole of atoms
Uncorrected formation energy: 0.5078 eV per atom
M_tot: 0.0 μB/f.u.
N(E_F): 2.31 states/eV/cell
Final energy: -2.851 eV/atom
V: 141.1 Å³/cell

***

A relaxed structure of KGeCl3, computed with PBE.

Lattice parameters (Å, degrees): 13.7167 13.7167 13.7167 90.00 90.00 90.00
Last column: nearest neighbours and their distance in Å.
Space group Fd-3m (No. 227, origin choice 2)
Asymmetric unit:
K: 0.0000 0.0000 0.0000 x16  6 Cl 3.31
Ge: 0.0000 0.0000 0.5000 x16  6 Cl 2.69
Cl: 0.0855 0.3750 0.8750 x48  2 Ge 2.69

Values from the calculation:
Crystal system: cubic
Uncorrected formation energy: -1.1706 eV per atom
M_tot: 0.0 μB/f.u.
N(E_F): 0.00 states/eV/cell
Final energy: -3.422 eV/atom
V: 2580.8 Å³/cell

***

A relaxed structure of KGeCl3, computed with PBE.

Lattice parameters (Å, degrees): 4.7619 4.7619 16.3623 90.00 90.00 120.00
Last column: nearest neighbours and their distance in Å.
Space group P6_3/mmc (No. 194)
Asymmetric unit:
K: 0.3333 0.6667 0.2500 x2  3 Cl 2.75
Ge: 0.0000 0.0000 0.0000 x2  6 Cl 2.90
Cl: 0.0000 0.0000 0.2500 x2  3 K 2.75
Cl: 0.3333 0.6667 0.0562 x4  3 Ge 2.90, 1 K 3.17

Values from the calculation:
Crystal system: hexagonal
Uncorrected formation energy: -0.9664 eV per atom
M_tot: 0.0 μB/f.u.
N(E_F): 0.00 states/eV/cell
Final energy: -3.217 eV/atom
V: 321.3 Å³/cell